NaAl3Si: relaxed, PBE-GGA.

Cell lengths 5.038, 5.038, 5.038 Å; angles 90.00, 90.00, 90.00 degrees
Atoms (fractional coordinates):
1 Al 0.000 0.500 0.000
2 Si 0.500 0.500 0.500
3 Al 0.000 0.000 0.500
4 Al 0.500 0.000 0.000
5 Na 0.000 0.000 0.000

Summary:
Space group: Pm-3m (221)
Energy relative to the lowest polymorph listed for this composition in kJ/mol of formula units: 417



NaAlSi: relaxed, PBE-GGA.

Cell lengths 7.392, 4.164, 4.164 Å; angles 105.85, 90.00, 90.00 degrees
Atoms (fractional coordinates):
1 Si 0.202 0.959 0.541
2 Si 0.798 0.459 0.041
3 Al 0.883 0.087 0.413
4 Na 0.500 0.976 0.024
5 Na 0.500 0.476 0.524
6 Al 0.117 0.587 0.913

Summary:
Space group: Aem2 (39)



NaAlSi: relaxed, PBE-GGA.

Cell lengths 6.016, 3.608, 12.399 Å; angles 90.00, 90.00, 90.00 degrees
Atoms (fractional coordinates):
1 Na 0.079 0.250 0.878
2 Al 0.955 0.250 0.330
3 Al 0.455 0.250 0.170
4 Na 0.579 0.250 0.622
5 Al 0.545 0.750 0.830
6 Na 0.421 0.750 0.378
7 Si 0.133 0.250 0.521
8 Na 0.921 0.750 0.122
9 Al 0.045 0.750 0.670
10 Si 0.367 0.750 0.021
11 Si 0.867 0.750 0.479
12 Si 0.633 0.250 0.979

Summary:
Space group: Pnma (62)



NaAlSi: relaxed, PBE-GGA.

Cell lengths 5.699, 5.435, 5.435 Å; angles 92.38, 121.63, 58.37 degrees
Atoms (fractional coordinates):
1 Al 0.752 0.549 0.053
2 Al 0.248 0.053 0.549
3 Na 0.000 0.701 0.701
4 Si 0.283 0.071 0.071
5 Na 0.500 0.440 0.440
6 Si 0.717 0.071 0.071

Summary:
Space group: Imm2 (44)



NaAlSi: relaxed, PBE-GGA.

Cell lengths 8.061, 4.037, 4.023 Å; angles 90.00, 92.60, 90.00 degrees
Atoms (fractional coordinates):
1 Na 0.873 0.250 0.729
2 Si 0.499 0.250 0.297
3 Na 0.127 0.750 0.271
4 Al 0.294 0.250 0.787
5 Al 0.706 0.750 0.213
6 Si 0.501 0.750 0.703

Summary:
Space group: P2_1/m (11)



NaAlSi: relaxed, PBE-GGA.

Cell lengths 6.115, 6.654, 7.128 Å; angles 95.98, 80.71, 115.72 degrees
Atoms (fractional coordinates):
1 Al 0.403 0.057 0.362
2 Al 0.849 0.584 0.994
3 Si 0.800 0.403 0.511
4 Na 0.946 0.146 0.121
5 Na 0.741 0.968 0.618
6 Al 0.117 0.818 0.677
7 Si 0.483 0.228 0.048
8 Na 0.420 0.739 0.992
9 Si 0.993 0.722 0.317
10 Al 0.380 0.262 0.730
11 Na 0.409 0.546 0.369
12 Si 0.088 0.442 0.731

Summary:
Space group: P1 (1)



NaAlSi: relaxed, PBE-GGA.

Cell lengths 6.990, 6.990, 6.599 Å; angles 90.00, 90.00, 90.00 degrees
Atoms (fractional coordinates):
1 Na 0.000 0.649 0.000
2 Al 0.339 0.661 0.625
3 Si 0.318 0.500 0.250
4 Si 0.682 0.500 0.750
5 Na 0.649 0.000 0.750
6 Al 0.661 0.339 0.125
7 Al 0.339 0.339 0.875
8 Si 0.500 0.318 0.500
9 Na 0.000 0.351 0.500
10 Si 0.500 0.682 0.000
11 Al 0.661 0.661 0.375
12 Na 0.351 0.000 0.250

Summary:
Space group: P4_122 (91)



Na2AlSi2: relaxed, PBE-GGA.

Cell lengths 6.610, 6.610, 4.855 Å; angles 90.00, 90.00, 90.00 degrees
Atoms (fractional coordinates):
1 Na 0.324 0.176 0.500
2 Si 0.626 0.126 0.000
3 Al 0.000 0.000 0.000
4 Si 0.374 0.874 0.000
5 Si 0.874 0.626 0.000
6 Al 0.500 0.500 0.000
7 Na 0.824 0.324 0.500
8 Na 0.176 0.676 0.500
9 Na 0.676 0.824 0.500
10 Si 0.126 0.374 0.000

Summary:
Space group: P4/mbm (127)



Computed values of raw formation energy (unit: eV per atom) for the preceding records, in sequence: 1.35; 0.17; 0.16; 0.07; 0.12; 0.12; 0.23; 0.06.